(1)
## Sm7Ho12Er (PBE-GGA)

Data for Sm7Ho12Er after structural relaxation.

- polymorph energy (0 for the lowest one) (meV per atom) = 436.8
- ΔE_f (eV/atom) = 0.673
- V (Å³/atom) = 35.49
- calculated density (Mg/m³) = 7.48

abc: 9.734 9.734 9.734
angles: 109.47 109.47 109.47
Atoms (fractional coordinates):
Sm 0.000 0.500 0.000
Sm 0.500 0.500 0.000
Sm 0.500 0.000 0.000
Sm 0.000 0.500 0.500
Sm 0.500 0.500 0.500
Sm 0.500 0.000 0.500
Sm 0.000 0.000 0.500
Ho 0.753 0.753 0.506
Ho 0.247 0.000 0.753
Ho 0.506 0.753 0.753
Ho 0.753 0.506 0.753
Ho 0.000 0.753 0.247
Ho 0.247 0.247 0.494
Ho 0.000 0.247 0.753
Ho 0.753 0.000 0.247
Ho 0.753 0.247 0.000
Ho 0.247 0.494 0.247
Ho 0.494 0.247 0.247
Ho 0.247 0.753 0.000
Er 0.000 0.000 0.000

(2)
## AlSb2W (PBE-GGA)

Data for AlSb2W after structural relaxation.

- formation energy (no corrections) (kJ/mol of formula units) = 153
- V (Å³/atom) = 21.00
- calculated density (Mg/m³) = 8.98

abc: 3.309 3.309 7.671
angles: 90.00 90.00 90.00
Atoms (fractional coordinates):
Sb 0.000 0.000 0.469
Sb 0.000 0.000 0.031
W 0.500 0.500 0.250
Al 0.500 0.500 0.750

(3)
## TeRuPbO6 (PBE-GGA)

Data for TeRuPbO6 after structural relaxation.

- formation energy (no corrections) (kJ/mol of formula units) = -914
- V (Å³/atom) = 14.77
- calculated density (Mg/m³) = 6.64

abc: 5.330 5.330 5.404
angles: 90.00 90.00 60.00
Last column: magnetic moment on the atom in μB.
Atoms (fractional coordinates):
O 0.378 0.621 0.295  0.07
O 0.621 0.001 0.295  0.07
O 0.001 0.378 0.295  0.07
O 0.621 0.378 0.705  0.07
O 0.001 0.621 0.705  0.07
O 0.378 0.001 0.705  0.07
Pb 0.000 0.000 0.000  0.02
Ru 0.667 0.667 0.500  1.42
Te 0.333 0.333 0.500  0.00

What is the calculated density in the third record? 6.64 Mg/m³

Which value of V does entry 3 give? 14.77 Å³/atom